1.
Entry from Alexandria: a geometry-optimized ScCr2Cu structure (PBE-GGA).

a b c (Å): 3.025 3.030 7.075
angles (deg): 64.73 90.00 90.00
Site moments in Bohr magnetons follow the coordinates.
Sites, in units of the cell vectors:
Cr 0.000 0.952 0.048  -1.28
Cr 0.500 0.274 0.226  1.86
Sc 0.500 0.744 0.756  0.15
Cu 0.000 0.531 0.470  0.08

Results
DFT total energy   -7.289 eV per atom
Magnetic moment   0.234 μB/atom
Space group   Pm
E above lowest polymorph   0.0 meV per atom

***

2.
Entry from Alexandria: a geometry-optimized ScCr2Cu structure (PBE-GGA).

a b c (Å): 7.075 7.075 5.558
angles (deg): 50.47 50.47 90.00
Site moments in Bohr magnetons follow the coordinates.
Sites, in units of the cell vectors:
Sc 0.500 0.500 0.000  -0.02
Sc 0.250 0.750 0.500  -0.02
Cu 0.750 0.250 0.500  0.04
Cu 0.000 0.000 0.000  0.04
Cr 0.875 0.908 0.750  0.32
Cr 0.375 0.342 0.750  0.30
Cr 0.092 0.625 0.250  0.34
Cr 0.658 0.125 0.250  0.31

Results
DFT total energy   -6.654 eV per atom
Magnetic moment   0.168 μB/atom
Space group   I-42d
E above lowest polymorph   634.8 meV per atom

***

3.
Entry from Alexandria: a geometry-optimized ScCr2Cu structure (PBE-GGA).

a b c (Å): 9.094 9.094 9.094
angles (deg): 17.06 17.06 17.06
Site moments in Bohr magnetons follow the coordinates.
Sites, in units of the cell vectors:
Sc 0.750 0.750 0.750  -0.07
Cr 0.505 0.505 0.505  0.45
Cr 0.995 0.995 0.995  0.45
Cu 0.250 0.250 0.250  0.04

Results
DFT total energy   -6.784 eV per atom
Magnetic moment   0.231 μB/atom
Space group   R-3m
E above lowest polymorph   504.6 meV per atom